{
  "formula": "TiZnSe3",
  "functional": "PBE-GGA",
  "state": "relaxed",
  "n_ef_per_ev_cell": 2.46,
  "de_polymorph_ev_per_fu": 0.000,
  "dft_energy_ev_per_cell": -20.78,
  "volume_a3_per_atom": 24.4,
  "raw_formation_energy_mev_per_atom": -231,
  "cell": [[4.957, 0.000, 0.000], [0.000, 4.957, 0.000], [0.000, 0.000, 4.957]],
  "species": ["Ti", "Zn", "Se", "Se", "Se"],
  "frac_coords": [[0.000, 0.000, 0.000], [0.500, 0.500, 0.500], [0.000, 0.000, 0.500], [0.000, 0.500, 0.000], [0.500, 0.000, 0.000]]
}